Entry 1:
{"formula": "RbTaI6", "functional": "PBE", "state": "optimized geometry", "cell": [[6.879, -3.670, 0.000], [6.879, 3.670, 0.000], [-2.842, 0.000, 13.806]], "species": ["Rb", "Rb", "Ta", "Ta", "I", "I", "I", "I", "I", "I", "I", "I", "I", "I", "I", "I"], "frac_coords": [[0.084, 0.916, 0.750], [0.916, 0.084, 0.250], [0.000, 0.500, 0.000], [0.500, 0.000, 0.500], [0.088, 0.208, 0.534], [0.197, 0.379, 0.832], [0.208, 0.088, 0.034], [0.321, 0.529, 0.105], [0.379, 0.197, 0.332], [0.471, 0.679, 0.395], [0.529, 0.321, 0.605], [0.621, 0.803, 0.668], [0.679, 0.471, 0.895], [0.792, 0.912, 0.966], [0.803, 0.621, 0.168], [0.912, 0.792, 0.466]]}

=====

Entry 2:
{"formula": "Rb2TcI6", "functional": "PBE", "state": "optimized geometry", "cell": [[8.096, 0.000, 0.000], [0.000, 8.237, 0.000], [-8.003, 0.000, 11.669]], "species": ["Rb", "Rb", "Rb", "Rb", "Tc", "Tc", "I", "I", "I", "I", "I", "I", "I", "I", "I", "I", "I", "I"], "frac_coords": [[0.232, 0.050, 0.250], [0.232, 0.450, 0.750], [0.768, 0.550, 0.250], [0.768, 0.950, 0.750], [0.500, 0.000, 0.000], [0.500, 0.500, 0.500], [0.202, 0.198, 0.975], [0.202, 0.302, 0.475], [0.283, 0.729, 0.982], [0.283, 0.771, 0.482], [0.313, 0.504, 0.266], [0.313, 0.996, 0.766], [0.687, 0.004, 0.234], [0.687, 0.496, 0.734], [0.717, 0.229, 0.518], [0.717, 0.271, 0.018], [0.798, 0.698, 0.525], [0.798, 0.802, 0.025]]}

=====

Entry 3:
{"formula": "RbTmI3", "functional": "PBE", "state": "optimized geometry", "cell": [[10.241, 0.000, 0.000], [0.000, 4.294, 0.000], [0.000, 0.000, 18.023]], "species": ["Rb", "Rb", "Rb", "Rb", "Tm", "Tm", "Tm", "Tm", "I", "I", "I", "I", "I", "I", "I", "I", "I", "I", "I", "I"], "frac_coords": [[0.072, 0.250, 0.174], [0.428, 0.750, 0.674], [0.572, 0.250, 0.326], [0.928, 0.750, 0.826], [0.122, 0.750, 0.458], [0.378, 0.250, 0.958], [0.622, 0.750, 0.042], [0.878, 0.250, 0.542], [0.049, 0.750, 0.623], [0.175, 0.750, 0.004], [0.229, 0.250, 0.807], [0.271, 0.750, 0.307], [0.325, 0.250, 0.504], [0.451, 0.250, 0.123], [0.549, 0.750, 0.877], [0.675, 0.750, 0.496], [0.729, 0.250, 0.693], [0.771, 0.750, 0.193], [0.825, 0.250, 0.996], [0.951, 0.250, 0.377]]}

=====

Entry 4:
{"formula": "Rb3TmI6", "functional": "PBE", "state": "optimized geometry", "cell": [[8.675, 0.000, 0.000], [0.000, 9.269, 0.000], [-8.396, 0.000, 12.400]], "species": ["Rb", "Rb", "Rb", "Rb", "Rb", "Rb", "Tm", "Tm", "I", "I", "I", "I", "I", "I", "I", "I", "I", "I", "I", "I"], "frac_coords": [[0.000, 0.000, 0.000], [0.000, 0.500, 0.500], [0.210, 0.083, 0.744], [0.210, 0.417, 0.244], [0.790, 0.583, 0.756], [0.790, 0.917, 0.256], [0.500, 0.000, 0.500], [0.500, 0.500, 0.000], [0.164, 0.174, 0.445], [0.164, 0.326, 0.945], [0.267, 0.728, 0.427], [0.267, 0.772, 0.927], [0.405, 0.049, 0.276], [0.405, 0.451, 0.776], [0.595, 0.549, 0.224], [0.595, 0.951, 0.724], [0.733, 0.228, 0.073], [0.733, 0.272, 0.573], [0.836, 0.674, 0.055], [0.836, 0.826, 0.555]]}

=====

| no. | energy (eV/atom) | magnetization (μB/cell) |
| --- | --- | --- |
| 1 | -3.46 | 0.0 |
| 2 | -3.13 | 6.0 |
| 3 | -3.27 | 4.0 |
| 4 | -3.13 | 0.0 |